Be2HgBi after structural relaxation. Source: Alexandria via LeMat-Bulk, functional PBE.

Computed properties:
Energy above the most stable polymorph in this dataset: 271 meV per atom

Cell lengths 4.757, 4.757, 4.757 Å; angles 60.00, 60.00, 60.00 degrees
Fractional positions:
Be (0.250, 0.250, 0.250)
Be (0.750, 0.750, 0.750)
Bi (0.500, 0.500, 0.500)
Hg (0.000, 0.000, 0.000)



Be3HgBi after structural relaxation. Source: Alexandria via LeMat-Bulk, functional PBE.

Computed properties:
Energy above the most stable polymorph in this dataset: 461 meV per atom

Cell lengths 4.937, 4.937, 4.937 Å; angles 90.00, 90.00, 90.00 degrees
Fractional positions:
Be (0.000, 0.500, 0.000)
Be (0.000, 0.000, 0.500)
Be (0.500, 0.000, 0.000)
Bi (0.000, 0.000, 0.000)
Hg (0.500, 0.500, 0.500)



Be2HgBi after structural relaxation. Source: Alexandria via LeMat-Bulk, functional PBE.

Computed properties:
Energy above the most stable polymorph in this dataset: 0 meV per atom

Cell lengths 4.471, 4.471, 8.737 Å; angles 75.17, 75.17, 90.00 degrees
Fractional positions:
Be (0.474, 0.125, 0.250)
Be (0.276, 0.625, 0.250)
Be (0.375, 0.526, 0.750)
Be (0.875, 0.724, 0.750)
Bi (0.000, 0.000, 0.000)
Bi (0.750, 0.250, 0.500)
Hg (0.500, 0.500, 0.000)
Hg (0.250, 0.750, 0.500)



BeHg2Bi2 after structural relaxation. Source: Alexandria via LeMat-Bulk, functional PBE.

Computed properties:
Calculated total energy: -10.50 eV/f.u.

Cell lengths 6.667, 6.667, 6.183 Å; angles 90.00, 90.00, 90.00 degrees
Fractional positions:
Be (0.000, 0.000, 0.000)
Be (0.500, 0.500, 0.000)
Bi (0.299, 0.799, 0.500)
Bi (0.799, 0.701, 0.500)
Bi (0.701, 0.201, 0.500)
Bi (0.201, 0.299, 0.500)
Hg (0.273, 0.773, 0.000)
Hg (0.773, 0.727, 0.000)
Hg (0.727, 0.227, 0.000)
Hg (0.227, 0.273, 0.000)



Be3HgBi after structural relaxation. Source: Alexandria via LeMat-Bulk, functional PBE.

Computed properties:
Energy above the most stable polymorph in this dataset: 0 meV per atom

Cell lengths 4.556, 4.556, 4.556 Å; angles 90.00, 90.00, 90.00 degrees
Fractional positions:
Be (0.000, 0.500, 0.000)
Be (0.000, 0.000, 0.500)
Be (0.500, 0.000, 0.000)
Bi (0.500, 0.500, 0.500)
Hg (0.000, 0.000, 0.000)



Be2HgBiP after structural relaxation. Source: Alexandria via LeMat-Bulk, functional PBE.

Computed properties:
Calculated total energy: -10.06 eV/f.u.

Cell lengths 4.667, 5.776, 4.667 Å; angles 90.00, 90.00, 90.00 degrees
Fractional positions:
P (0.500, 0.500, 0.500)
Be (0.000, 0.000, 0.500)
Be (0.500, 0.000, 0.000)
Bi (0.000, 0.000, 0.000)
Hg (0.000, 0.500, 0.000)



BeHg2BiPd after structural relaxation. Source: Alexandria via LeMat-Bulk, functional PBE.

Computed properties:
Calculated total energy: -8.72 eV/f.u.

Cell lengths 5.909, 5.185, 5.909 Å; angles 90.00, 90.00, 90.00 degrees
Fractional positions:
Be (0.500, 0.500, 0.500)
Bi (0.000, 0.000, 0.000)
Pd (0.000, 0.500, 0.000)
Hg (0.000, 0.000, 0.500)
Hg (0.500, 0.000, 0.000)



BeHgBiPt2 after structural relaxation. Source: Alexandria via LeMat-Bulk, functional PBE.

Computed properties:
Calculated total energy: -15.14 eV/f.u.

Cell lengths 5.209, 4.543, 5.209 Å; angles 90.00, 90.00, 90.00 degrees
Fractional positions:
Be (0.000, 0.500, 0.000)
Bi (0.000, 0.000, 0.000)
Pt (0.000, 0.000, 0.500)
Pt (0.500, 0.000, 0.000)
Hg (0.500, 0.500, 0.500)



ScBe2HgBi after structural relaxation. Source: Alexandria via LeMat-Bulk, functional PBE.

Computed properties:
Calculated total energy: -14.96 eV/f.u.

Cell lengths 4.417, 6.111, 4.417 Å; angles 90.00, 90.00, 90.00 degrees
Fractional positions:
Sc (0.500, 0.500, 0.500)
Be (0.000, 0.000, 0.500)
Be (0.500, 0.000, 0.000)
Bi (0.000, 0.500, 0.000)
Hg (0.000, 0.000, 0.000)



BeSnHgBi2 after structural relaxation. Source: Alexandria via LeMat-Bulk, functional PBE.

Computed properties:
Calculated total energy: -10.35 eV/f.u.

Cell lengths 5.872, 5.549, 5.872 Å; angles 90.00, 90.00, 90.00 degrees
Fractional positions:
Be (0.500, 0.500, 0.500)
Bi (0.000, 0.000, 0.500)
Bi (0.500, 0.000, 0.000)
Sn (0.000, 0.000, 0.000)
Hg (0.000, 0.500, 0.000)



Be2VHgBi after structural relaxation. Source: Alexandria via LeMat-Bulk, functional PBE.

Computed properties:
Calculated total energy: -11.88 eV/f.u.

Cell lengths 4.582, 5.857, 4.582 Å; angles 90.00, 90.00, 90.00 degrees
Each line ends with the local moment (μB).
Fractional positions:
Be (0.000, 0.000, 0.500)  0.05
Be (0.500, 0.000, 0.000)  0.04
V (0.500, 0.500, 0.500)  -0.65
Bi (0.000, 0.000, 0.000)  0.02
Hg (0.000, 0.500, 0.000)  0.02



HoBeBi after structural relaxation. Source: Alexandria via LeMat-Bulk, functional PBE.

Computed properties:
Calculated total energy: -12.82 eV/f.u.

Cell lengths 3.955, 5.542, 6.657 Å; angles 78.39, 107.28, 90.00 degrees
Fractional positions:
Be (0.737, 0.140, 0.474)
Be (0.263, 0.860, 0.526)
Ho (0.643, 0.675, 0.286)
Ho (0.357, 0.325, 0.714)
Bi (0.903, 0.784, 0.806)
Bi (0.097, 0.216, 0.194)



Be2Bi2I after structural relaxation. Source: Alexandria via LeMat-Bulk, functional PBE.

Computed properties:
Formation energy (no corrections): 0.669 eV/atom
Energy above the most stable polymorph in this dataset: 436 meV per atom

Cell lengths 8.613, 8.613, 3.836 Å; angles 90.00, 90.00, 90.00 degrees
Fractional positions:
I (0.000, 0.000, 0.000)
I (0.500, 0.500, 0.000)
Be (0.088, 0.588, 0.500)
Be (0.588, 0.912, 0.500)
Be (0.912, 0.412, 0.500)
Be (0.412, 0.088, 0.500)
Bi (0.363, 0.863, 0.000)
Bi (0.863, 0.637, 0.000)
Bi (0.637, 0.137, 0.000)
Bi (0.137, 0.363, 0.000)



Be2BiI after structural relaxation. Source: Alexandria via LeMat-Bulk, functional PBE.

Computed properties:
Formation energy (no corrections): 1.037 eV/atom
Energy above the most stable polymorph in this dataset: 803 meV per atom

Cell lengths 4.924, 4.924, 4.924 Å; angles 60.00, 60.00, 60.00 degrees
Fractional positions:
I (0.000, 0.000, 0.000)
Be (0.250, 0.250, 0.250)
Be (0.750, 0.750, 0.750)
Bi (0.500, 0.500, 0.500)



BeBi3I after structural relaxation. Source: Alexandria via LeMat-Bulk, functional PBE.

Computed properties:
Formation energy (no corrections): 1.520 eV/atom
Energy above the most stable polymorph in this dataset: 1059 meV per atom

Cell lengths 5.952, 5.952, 5.952 Å; angles 90.00, 90.00, 90.00 degrees
Fractional positions:
I (0.000, 0.000, 0.000)
Be (0.500, 0.500, 0.500)
Bi (0.000, 0.500, 0.000)
Bi (0.000, 0.000, 0.500)
Bi (0.500, 0.000, 0.000)



Be2Bi2I after structural relaxation. Source: Alexandria via LeMat-Bulk, functional PBE.

Computed properties:
Formation energy (no corrections): 0.233 eV/atom
Energy above the most stable polymorph in this dataset: 0 meV per atom

Cell lengths 3.485, 3.485, 11.133 Å; angles 81.00, 81.00, 90.00 degrees
Fractional positions:
I (0.000, 0.000, 0.000)
Be (0.750, 0.250, 0.500)
Be (0.250, 0.750, 0.500)
Bi (0.343, 0.343, 0.314)
Bi (0.657, 0.657, 0.686)



BeBi2I after structural relaxation. Source: Alexandria via LeMat-Bulk, functional PBE.

Computed properties:
Formation energy (no corrections): 0.729 eV/atom
Energy above the most stable polymorph in this dataset: 314 meV per atom

Cell lengths 5.404, 5.404, 5.404 Å; angles 60.00, 60.00, 60.00 degrees
Fractional positions:
I (0.500, 0.500, 0.500)
Be (0.000, 0.000, 0.000)
Bi (0.250, 0.250, 0.250)
Bi (0.750, 0.750, 0.750)



BeBi2I after structural relaxation. Source: Alexandria via LeMat-Bulk, functional PBE.

Computed properties:
Formation energy (no corrections): 0.415 eV/atom
Energy above the most stable polymorph in this dataset: 0 meV per atom

Cell lengths 6.769, 6.769, 7.801 Å; angles 64.29, 64.29, 90.00 degrees
Fractional positions:
I (0.000, 0.000, 0.000)
I (0.750, 0.250, 0.500)
Be (0.500, 0.500, 0.000)
Be (0.250, 0.750, 0.500)
Bi (0.516, 0.125, 0.250)
Bi (0.234, 0.625, 0.250)
Bi (0.375, 0.484, 0.750)
Bi (0.875, 0.766, 0.750)



BeBi3I after structural relaxation. Source: Alexandria via LeMat-Bulk, functional PBE.

Computed properties:
Formation energy (no corrections): 0.461 eV/atom
Energy above the most stable polymorph in this dataset: 0 meV per atom

Cell lengths 5.262, 5.262, 5.262 Å; angles 90.00, 90.00, 90.00 degrees
Fractional positions:
I (0.500, 0.500, 0.500)
Be (0.000, 0.000, 0.000)
Bi (0.000, 0.500, 0.000)
Bi (0.000, 0.000, 0.500)
Bi (0.500, 0.000, 0.000)



Be2BiI after structural relaxation. Source: Alexandria via LeMat-Bulk, functional PBE.

Computed properties:
Formation energy (no corrections): 0.234 eV/atom
Energy above the most stable polymorph in this dataset: 0 meV per atom

Cell lengths 5.863, 5.863, 7.222 Å; angles 66.05, 66.05, 90.00 degrees
Fractional positions:
I (0.500, 0.500, 0.000)
I (0.250, 0.750, 0.500)
Be (0.647, 0.125, 0.250)
Be (0.103, 0.625, 0.250)
Be (0.375, 0.353, 0.750)
Be (0.875, 0.897, 0.750)
Bi (0.000, 0.000, 0.000)
Bi (0.750, 0.250, 0.500)